# 1
Sc2Se: relaxed, PBE.

Symmetry: P6/mmm, No. 191
Formation energy (no corrections) (kJ/mol of formula units): 7
Total magnetic moment (Bohr magnetons per cell): 1.75
Calculated density (g cm⁻³): 4.33

Structure (POSCAR):
```
Sc2Se
1.0
4.804 0.000 0.000
-2.402 4.160 0.000
0.000 0.000 3.242
Sc Se
2 1
Direct
0.333 0.667 0.500
0.667 0.333 0.500
0.000 0.000 0.000
```



# 2
AcTbAl: relaxed, PBE.

E_form (meV/atom): 630.2
Symmetry: Cmmm, No. 65
Total magnetic moment (Bohr magnetons per cell): 0.00
Calculated density (g cm⁻³): 5.75
Excess energy over the best structure of this formula in the dataset (meV per atom): 783

Structure (POSCAR):
```
AcTbAl
1.0
-2.119 1.532 4.775
-5.927 1.241 -3.028
-0.106 -6.459 2.025
Tb Al Ac
2 2 2
Direct
0.000 0.000 0.000
0.500 0.500 0.500
0.000 0.657 0.657
0.000 0.343 0.343
0.500 0.179 0.821
0.500 0.821 0.179
```



# 3
NaCdAgBi: relaxed, PBE.

E_form (meV/atom): -47.2
Symmetry: F-43m, No. 216
Total magnetic moment (Bohr magnetons per cell): 0.00
Calculated density (g cm⁻³): 7.84

Structure (POSCAR):
```
NaCdAgBi
1.0
-5.028 -0.954 0.420
-1.923 -4.440 -1.718
-1.674 -3.533 3.329
Na Bi Ag Cd
1 1 1 1
Direct
0.500 0.500 0.500
0.250 0.250 0.250
0.000 0.000 0.000
0.750 0.750 0.750
```



# 4
Pm8YCd6: relaxed, PBE.

E_form (meV/atom): -92.5
Symmetry: R-3, No. 148
Total magnetic moment (Bohr magnetons per cell): 1.32
Calculated density (g cm⁻³): 6.78

Structure (POSCAR):
```
Pm8YCd6
1.0
9.139 0.000 0.000
4.569 7.914 0.000
4.569 2.638 6.513
Pm Y Cd
8 1 6
Direct
0.545 0.219 0.352
0.781 0.115 0.648
0.115 0.455 0.648
0.665 0.665 0.004
0.335 0.335 0.996
0.885 0.545 0.352
0.219 0.885 0.352
0.455 0.781 0.648
0.000 0.000 0.000
0.378 0.049 0.851
0.951 0.279 0.149
0.279 0.622 0.149
0.721 0.378 0.851
0.049 0.721 0.851
0.622 0.951 0.149
```